# 1
Crystalline WSe2 at its relaxed geometry. Source: Alexandria, functional PBE.

Cell: 5.654 6.370 3.302 Å, 90.00 90.00 90.00°
Space group Pnnm (No. 58)
One atom of each set of equivalent atoms:
W: 0.000 0.000 0.000 x2
Se: 0.200 0.354 0.000 x4

Total energy   -6.799 eV per atom
E_form (uncorrected)   -0.159 eV/atom



# 2
Crystalline Tm2V2SnRu5 at its relaxed geometry. Source: Alexandria, functional PBE.

Cell: 10.180 10.180 3.320 Å, 90.00 90.00 90.00°
Space group P4/mbm (No. 127)
One atom of each set of equivalent atoms:
Tm: 0.176 0.324 0.000 x4
V: 0.122 0.622 0.000 x4
Sn: 0.000 0.000 0.000 x2
Ru: 0.000 0.500 0.500 x2
Ru: 0.066 0.789 0.500 x8

Total energy   -8.026 eV per atom



# 3
Crystalline LaAl2Re at its relaxed geometry. Source: Alexandria, functional PBE.

Cell: 8.930 2.863 6.408 Å, 90.00 95.95 90.00°
Space group Cm (No. 8)
One atom of each set of equivalent atoms:
La: 0.000 0.000 0.000 x2
Al: 0.256 0.500 0.342 x2
Al: 0.498 0.000 0.530 x2
Re: 0.235 0.000 0.689 x2

Total energy   -6.077 eV per atom
Energy above the lowest structure with this stoichiometry   0.310 eV/atom